[1]
VASP calculation (PBE-GGA) on a geometry-optimized Nb2GaRu structure.

Cell lengths 4.0065, 4.0065, 4.0382 Å; angles 90.00, 90.00, 90.00 degrees
Closest atoms and distances in Å follow each position.
Fractional positions:
Nb 0.0000 0.5000 0.0000  4 Nb 2.83, 4 Ru 2.84, 4 Ga 2.84
Nb 0.5000 0.0000 0.0000  4 Nb 2.83, 4 Ru 2.84, 4 Ga 2.84
Ga 0.0000 0.0000 0.5000  4 Ru 2.83, 8 Nb 2.84
Ru 0.5000 0.5000 0.5000  4 Ga 2.83, 8 Nb 2.84

Output
The crystal system is tetragonal.

---

[2]
VASP calculation (PBE-GGA) on a geometry-optimized HfMnAs structure.

Cell lengths 6.6394, 3.7119, 11.4792 Å; angles 90.00, 90.09, 90.00 degrees
Closest atoms and distances in Å follow each position.
Fractional positions:
Hf 0.0351 0.2500 0.2860  5 As 2.73-2.74, 7 Mn 2.95-3.02
Hf 0.3470 0.7500 0.9155  5 As 2.72-2.74, 5 Mn 2.94-3.04
Hf 0.4645 0.7500 0.6197  5 As 2.73-2.78, 4 Mn 2.96-3.01
Hf 0.5355 0.2500 0.3803  5 As 2.73-2.78, 4 Mn 2.96-3.01
Hf 0.6530 0.2500 0.0845  5 As 2.72-2.74, 5 Mn 2.94-3.04
Hf 0.9649 0.7500 0.7140  5 As 2.73-2.74, 7 Mn 2.95-3.02
Mn 0.0036 0.2500 0.9144  4 As 2.47-2.55, 2 Mn 2.70
Mn 0.1346 0.2500 0.5405  4 As 2.46-2.54, 2 Mn 2.74
Mn 0.3645 0.7500 0.2048  4 As 2.48-2.55
Mn 0.6355 0.2500 0.7952  4 As 2.48-2.55
Mn 0.8654 0.7500 0.4595  4 As 2.46-2.54, 2 Mn 2.74
Mn 0.9964 0.7500 0.0856  4 As 2.47-2.55, 2 Mn 2.70
As 0.2402 0.7500 0.4145  4 Mn 2.46-2.55, 4 Hf 2.73
As 0.2419 0.2500 0.0803  5 Mn 2.47-2.48, 4 Hf 2.73-2.74
As 0.2614 0.2500 0.7495  3 Mn 2.54-2.55, 6 Hf 2.72-2.74
As 0.7386 0.7500 0.2505  3 Mn 2.54-2.55, 6 Hf 2.72-2.74
As 0.7581 0.7500 0.9197  5 Mn 2.47-2.48, 4 Hf 2.73-2.74
As 0.7598 0.2500 0.5855  4 Mn 2.46-2.55, 4 Hf 2.73

Output
The crystal system is monoclinic.

---

no.,DFT formation energy (kJ/mol of atoms)
1,-23.9
2,-66.3